NiIrPdPb, optimized geometry, DFT PBE; E_tot = -5.538 eV/atom
1.0
0.000 3.185 3.185
3.185 0.000 3.185
3.185 3.185 0.000
Ir Pd Ni Pb
1 1 1 1
direct
0.500 0.500 0.500 Ir
0.250 0.250 0.250 Pd
0.750 0.750 0.750 Ni
0.000 0.000 0.000 Pb

Tb2TmNiIr2Pb3, optimized geometry, DFT PBE; E_tot = -5.896 eV/atom
1.0
3.753 0.000 0.000
0.000 6.696 3.882
0.000 -6.696 3.882
Pb Tb Ir Tm Ni
3 2 2 1 1
direct
0.500 0.258 0.258 Pb
0.500 0.742 0.999 Pb
0.500 0.999 0.742 Pb
0.000 0.408 0.000 Tb
0.000 0.000 0.408 Tb
0.500 0.336 0.666 Ir
0.500 0.666 0.336 Ir
0.000 0.592 0.592 Tm
0.000 0.998 0.998 Ni

TbY2NiIr2Pb3, optimized geometry, DFT PBE; E_tot = -6.321 eV/atom
1.0
3.765 0.000 0.000
0.000 6.731 3.889
0.000 -6.731 3.889
Pb Ir Y Ni Tb
3 2 2 1 1
direct
0.500 0.741 0.000 Pb
0.500 0.259 0.259 Pb
0.500 0.000 0.741 Pb
0.500 0.334 0.667 Ir
0.500 0.667 0.334 Ir
0.000 0.405 0.000 Y
0.000 0.000 0.405 Y
0.000 0.000 0.000 Ni
0.000 0.594 0.594 Tb

NiIr2Pd, optimized geometry, DFT PBE; E_tot = -6.792 eV/atom
1.0
2.153 1.243 3.516
-2.153 1.243 3.516
0.000 -2.486 3.516
Ir Pd Ni
2 1 1
direct
0.000 0.000 0.000 Ir
0.750 0.750 0.750 Ir
0.500 0.500 0.500 Pd
0.250 0.250 0.250 Ni

| no. | magnetization (μB per formula unit) |
| --- | --- |
| 1 | 0.00 |
| 2 | 0.00 |
| 3 | 0.00 |
| 4 | 0.11 |